Entry 1:
DFT (PBE) results for a geometry-optimized Ba8Bi3SI4 structure.

Geometry as POSCAR:
```
Ba8Bi3SI4
1.0
5.0233 2.9002 8.3318
-5.0233 2.9002 8.3318
0.0000 -5.8004 8.3318
Ba Bi S I
8 3 1 4
Direct
0.2423 0.2423 0.2423
0.2501 0.7327 0.7327
0.2673 0.2673 0.7499
0.2673 0.7499 0.2673
0.7327 0.2501 0.7327
0.7327 0.7327 0.2501
0.7499 0.2673 0.2673
0.7577 0.7577 0.7577
0.0000 0.0000 0.5000
0.0000 0.5000 0.0000
0.5000 0.0000 0.0000
0.5000 0.5000 0.5000
0.0000 0.0000 0.0000
0.0000 0.5000 0.5000
0.5000 0.0000 0.5000
0.5000 0.5000 0.0000
```

Computed properties:
Crystal system = trigonal



Entry 2:
DFT (PBE) results for a geometry-optimized BaBiS2I structure.

Geometry as POSCAR:
```
BaBiS2I
1.0
8.3578 0.0000 0.0000
0.0000 5.5152 0.0000
-3.6412 0.0000 8.7211
Ba Bi S I
2 2 4 2
Direct
0.2015 0.2500 0.4392
0.7985 0.7500 0.5608
0.1546 0.2500 0.9393
0.8454 0.7500 0.0607
0.0135 0.7500 0.3493
0.0733 0.7500 0.9351
0.9267 0.2500 0.0649
0.9865 0.2500 0.6507
0.4608 0.7500 0.6972
0.5392 0.2500 0.3028
```

Computed properties:
Crystal system = monoclinic



Entry 3:
DFT (PBE) results for a geometry-optimized BaBiSbI2 structure.

Geometry as POSCAR:
```
BaBiSbI2
1.0
6.1564 0.0000 0.0000
0.0000 6.1564 0.0000
0.0000 0.0000 5.9652
Ba Bi Sb I
1 1 1 2
Direct
0.0000 0.0000 0.0000
0.5000 0.5000 0.5000
0.5000 0.5000 0.0000
0.0000 0.5000 0.5000
0.5000 0.0000 0.5000
```

Computed properties:
Distance to the lowest polymorph of the same formula = 0.0 meV per atom
Crystal system = tetragonal



Entry 4:
DFT (PBE) results for a geometry-optimized Ba5BiSb2I structure.

Geometry as POSCAR:
```
Ba5BiSb2I
1.0
-3.1529 4.3310 9.0004
3.1529 -4.3310 9.0004
3.1529 4.3310 -9.0004
Ba Bi Sb I
5 1 2 1
Direct
0.0000 0.0000 0.0000
0.0744 0.3430 0.7314
0.3884 0.6570 0.7314
0.6116 0.3430 0.2686
0.9256 0.6570 0.2686
0.0000 0.5000 0.5000
0.1997 0.1997 0.0000
0.8003 0.8003 0.0000
0.5000 0.0000 0.5000
```

Computed properties:
Crystal system = orthorhombic



Entry 5:
DFT (PBE) results for a geometry-optimized Ba6BiSb2I3 structure.

Geometry as POSCAR:
```
Ba6BiSb2I3
1.0
11.1816 -2.5462 0.0000
11.1816 2.5462 0.0000
-2.4074 0.0000 10.0013
Ba Bi Sb I
6 1 2 3
Direct
0.0083 0.0083 0.2369
0.3252 0.3252 0.4352
0.3390 0.3390 0.8948
0.6610 0.6610 0.1052
0.6748 0.6748 0.5648
0.9917 0.9917 0.7631
0.5000 0.5000 0.0000
0.1666 0.1666 0.3345
0.8334 0.8334 0.6655
0.1665 0.1665 0.8334
0.5000 0.5000 0.5000
0.8335 0.8335 0.1666
```

Computed properties:
Crystal system = monoclinic



Entry 6:
DFT (PBE) results for a geometry-optimized Ba5Bi2SbI structure.

Geometry as POSCAR:
```
Ba5Bi2SbI
1.0
-3.1438 4.3706 9.0384
3.1438 -4.3706 9.0384
3.1438 4.3706 -9.0384
Ba Bi Sb I
5 2 1 1
Direct
0.0000 0.0000 0.0000
0.0782 0.3467 0.7315
0.3847 0.6533 0.7315
0.6153 0.3467 0.2685
0.9218 0.6533 0.2685
0.2002 0.2002 0.0000
0.7998 0.7998 0.0000
0.0000 0.5000 0.5000
0.5000 0.0000 0.5000
```

Computed properties:
Crystal system = orthorhombic



Entry 7:
DFT (PBE) results for a geometry-optimized Ba8Bi3SbI4 structure.

Geometry as POSCAR:
```
Ba8Bi3SbI4
1.0
5.1320 2.9629 8.4136
-5.1320 2.9629 8.4136
0.0000 -5.9259 8.4136
Ba Bi Sb I
8 3 1 4
Direct
0.2402 0.2402 0.2402
0.2430 0.7377 0.7377
0.2623 0.2623 0.7570
0.2623 0.7570 0.2623
0.7377 0.2430 0.7377
0.7377 0.7377 0.2430
0.7570 0.2623 0.2623
0.7598 0.7598 0.7598
0.0000 0.0000 0.5000
0.0000 0.5000 0.0000
0.5000 0.0000 0.0000
0.5000 0.5000 0.5000
0.0000 0.0000 0.0000
0.0000 0.5000 0.5000
0.5000 0.0000 0.5000
0.5000 0.5000 0.0000
```

Computed properties:
Crystal system = trigonal



Entry 8:
DFT (PBE) results for a geometry-optimized BaBiSbI2 structure.

Geometry as POSCAR:
```
BaBiSbI2
1.0
6.4141 0.0000 0.0000
0.0000 6.4141 0.0000
0.0000 0.0000 7.0740
Ba Bi Sb I
1 1 1 2
Direct
0.0000 0.0000 0.0000
0.5000 0.5000 0.5000
0.0000 0.0000 0.5000
0.0000 0.5000 0.0000
0.5000 0.0000 0.0000
```

Computed properties:
Distance to the lowest polymorph of the same formula = 517.2 meV per atom
Crystal system = tetragonal



Entry 9:
DFT (PBE) results for a geometry-optimized Ba8BiSe3I4 structure.

Geometry as POSCAR:
```
Ba8BiSe3I4
1.0
4.8632 2.8078 8.2024
-4.8632 2.8078 8.2024
0.0000 -5.6155 8.2024
Ba Bi Se I
8 1 3 4
Direct
0.2305 0.7444 0.7444
0.2373 0.2373 0.2373
0.2556 0.2556 0.7695
0.2556 0.7695 0.2556
0.7444 0.2305 0.7444
0.7444 0.7444 0.2305
0.7627 0.7627 0.7627
0.7695 0.2556 0.2556
0.5000 0.5000 0.5000
0.0000 0.0000 0.5000
0.0000 0.5000 0.0000
0.5000 0.0000 0.0000
0.0000 0.0000 0.0000
0.0000 0.5000 0.5000
0.5000 0.0000 0.5000
0.5000 0.5000 0.0000
```

Computed properties:
Crystal system = trigonal



Entry 10:
DFT (PBE) results for a geometry-optimized Ba4BiSeI2 structure.

Geometry as POSCAR:
```
Ba4BiSeI2
1.0
8.5590 0.0000 0.0000
0.0000 4.9792 0.0000
-2.8871 0.0000 8.2460
Ba Bi Se I
4 1 1 2
Direct
0.2319 0.0000 0.2167
0.2511 0.5000 0.7765
0.7489 0.5000 0.2235
0.7681 0.0000 0.7833
0.5000 0.0000 0.0000
0.0000 0.5000 0.0000
0.0000 0.0000 0.5000
0.5000 0.5000 0.5000
```

Computed properties:
Crystal system = monoclinic



Result set for electronic total energy: -3.74 -4.24 -3.03 -3.51 -3.73 -3.48 -3.67 -2.51 -3.85 -3.78 eV per atom, one per record in the order listed.
Result set for formation energy from raw total energies: -1402 -1115 -426 -921 -1369 -921 -1334 91 -1610 -1507 meV per atom, one per record in the order listed.